Entry from the Alexandria database: a relaxed structure of Zn2SiO (PBE).

Summary:
The calculated total energy is -0.10455 hartree per atom. Its space-group type is No. 225. The value obtained for the formation energy from raw total energies is 0.3872 eV/atom.

```
data_Zn2SiO
_chemical_formula_sum 'Zn2 Si1 O1'
_cell_length_a 4.2844
_cell_length_b 4.2844
_cell_length_c 4.2844
_cell_angle_alpha 60.00
_cell_angle_beta 60.00
_cell_angle_gamma 60.00
_space_group_name_H-M_alt 'P 1'
_space_group_IT_number 1
loop_
_space_group_symop_operation_xyz
'x,y,z'
loop_
_atom_site_label
_atom_site_fract_x
_atom_site_fract_y
_atom_site_fract_z
Zn1 0.2500 0.2500 0.2500
Zn2 0.7500 0.7500 0.7500
Si1 0.0000 0.0000 0.0000
O1 0.5000 0.5000 0.5000
```

Entry from the Alexandria database: a relaxed structure of LaTlSn (PBE).

Summary:
The calculated total energy is -0.15713 hartree per atom. Its space-group type is No. 156. Its formation energy is -0.51 eV/atom.

```
data_LaTlSn
_chemical_formula_sum 'La1 Tl1 Sn1'
_cell_length_a 4.8250
_cell_length_b 4.8250
_cell_length_c 4.6100
_cell_angle_alpha 90.00
_cell_angle_beta 90.00
_cell_angle_gamma 120.00
_space_group_name_H-M_alt 'P 1'
_space_group_IT_number 1
loop_
_space_group_symop_operation_xyz
'x,y,z'
loop_
_atom_site_label
_atom_site_fract_x
_atom_site_fract_y
_atom_site_fract_z
La1 0.0000 0.0000 0.0000
Tl1 0.6667 0.3333 0.3595
Sn1 0.3333 0.6667 0.6078
```

Entry from the Alexandria database: a relaxed structure of PrHoCdBi (PBE).

Summary:
The calculated total energy is -0.14611 hartree per atom. Its space-group type is No. 216. Its formation energy is -0.44 eV/atom.

```
data_PrHoCdBi
_chemical_formula_sum 'Pr1 Ho1 Cd1 Bi1'
_cell_length_a 5.4715
_cell_length_b 5.4715
_cell_length_c 5.4715
_cell_angle_alpha 60.00
_cell_angle_beta 60.00
_cell_angle_gamma 60.00
_space_group_name_H-M_alt 'P 1'
_space_group_IT_number 1
loop_
_space_group_symop_operation_xyz
'x,y,z'
loop_
_atom_site_label
_atom_site_fract_x
_atom_site_fract_y
_atom_site_fract_z
Pr1 0.0000 0.0000 0.0000
Ho1 0.5000 0.5000 0.5000
Cd1 0.7500 0.7500 0.7500
Bi1 0.2500 0.2500 0.2500
```

Entry from the Alexandria database: a relaxed structure of Zr2TiSi (PBE).

Summary:
The calculated total energy is -0.27717 hartree per atom. Its space-group type is No. 122. The value obtained for the formation energy from raw total energies is 0.0615 eV/atom.

```
data_Zr2TiSi
_chemical_formula_sum 'Zr4 Ti2 Si2'
_cell_length_a 6.0903
_cell_length_b 6.0903
_cell_length_c 6.0903
_cell_angle_alpha 101.43
_cell_angle_beta 101.43
_cell_angle_gamma 127.14
_space_group_name_H-M_alt 'P 1'
_space_group_IT_number 1
loop_
_space_group_symop_operation_xyz
'x,y,z'
loop_
_atom_site_label
_atom_site_fract_x
_atom_site_fract_y
_atom_site_fract_z
Zr1 0.0958 0.6250 0.9708
Zr2 0.3750 0.3458 0.4708
Zr3 0.6542 0.1250 0.0292
Zr4 0.8750 0.9042 0.5292
Ti1 0.2500 0.7500 0.5000
Ti2 0.5000 0.5000 0.0000
Si1 0.0000 0.0000 0.0000
Si2 0.7500 0.2500 0.5000
```

Entry from the Alexandria database: a relaxed structure of La4Ho3Al4 (PBE).

Summary:
The calculated total energy is -0.16477 hartree per atom. Its space-group type is No. 71. Its formation energy is -0.08 eV/atom.

```
data_La4Ho3Al4
_chemical_formula_sum 'La4 Ho3 Al4'
_cell_length_a 9.3786
_cell_length_b 9.3786
_cell_length_c 9.3786
_cell_angle_alpha 151.77
_cell_angle_beta 120.70
_cell_angle_gamma 66.95
_space_group_name_H-M_alt 'P 1'
_space_group_IT_number 1
loop_
_space_group_symop_operation_xyz
'x,y,z'
loop_
_atom_site_label
_atom_site_fract_x
_atom_site_fract_y
_atom_site_fract_z
La1 0.0047 0.8377 0.1670
La2 0.3292 0.1623 0.1670
La3 0.6708 0.8377 0.8330
La4 0.9953 0.1623 0.8330
Ho1 0.0000 0.5000 0.5000
Ho2 0.3888 0.3888 0.0000
Ho3 0.6112 0.6112 0.0000
Al1 0.2616 0.7616 0.5000
Al2 0.3573 0.0000 0.3573
Al3 0.6427 0.0000 0.6427
Al4 0.7384 0.2384 0.5000
```

Entry from the Alexandria database: a relaxed structure of BeCdPt2 (PBE).

Summary:
The calculated total energy is -0.16178 hartree per atom. Its space-group type is No. 225. Its formation energy is -0.22 eV/atom.

```
data_BeCdPt2
_chemical_formula_sum 'Be1 Cd1 Pt2'
_cell_length_a 4.4038
_cell_length_b 4.4038
_cell_length_c 4.4038
_cell_angle_alpha 60.00
_cell_angle_beta 60.00
_cell_angle_gamma 60.00
_space_group_name_H-M_alt 'P 1'
_space_group_IT_number 1
loop_
_space_group_symop_operation_xyz
'x,y,z'
loop_
_atom_site_label
_atom_site_fract_x
_atom_site_fract_y
_atom_site_fract_z
Be1 0.0000 0.0000 0.0000
Cd1 0.5000 0.5000 0.5000
Pt1 0.2500 0.2500 0.2500
Pt2 0.7500 0.7500 0.7500
```

Entry from the Alexandria database: a relaxed structure of Nd3Cu9Ni2 (PBE).

Summary:
The calculated total energy is -0.17105 hartree per atom. Its space-group type is No. 71. Its formation energy is -0.17 eV/atom.

```
data_Nd3Cu9Ni2
_chemical_formula_sum 'Nd3 Cu9 Ni2'
_cell_length_a 7.8448
_cell_length_b 7.8448
_cell_length_c 7.8448
_cell_angle_alpha 148.99
_cell_angle_beta 110.09
_cell_angle_gamma 78.42
_space_group_name_H-M_alt 'P 1'
_space_group_IT_number 1
loop_
_space_group_symop_operation_xyz
'x,y,z'
loop_
_atom_site_label
_atom_site_fract_x
_atom_site_fract_y
_atom_site_fract_z
Nd1 0.0000 0.0000 0.0000
Nd2 0.3089 0.3089 0.0000
Nd3 0.6911 0.6911 0.0000
Cu1 0.0245 0.6720 0.3525
Cu2 0.1617 0.8836 0.2781
Cu3 0.3195 0.6720 0.6475
Cu4 0.3945 0.1164 0.2781
Cu5 0.5000 0.0000 0.5000
Cu6 0.6055 0.8836 0.7219
Cu7 0.6805 0.3280 0.3525
Cu8 0.8383 0.1164 0.7219
Cu9 0.9755 0.3280 0.6475
Ni1 0.3038 0.5000 0.8038
Ni2 0.6962 0.5000 0.1962
```

Entry from the Alexandria database: a relaxed structure of Tb5Al2Tl (PBE).

Summary:
The calculated total energy is -0.16303 hartree per atom. Its space-group type is No. 140. Its formation energy is -0.31 eV/atom.

```
data_Tb5Al2Tl
_chemical_formula_sum 'Tb10 Al4 Tl2'
_cell_length_a 9.1541
_cell_length_b 9.1541
_cell_length_c 9.1541
_cell_angle_alpha 129.27
_cell_angle_beta 129.27
_cell_angle_gamma 74.57
_space_group_name_H-M_alt 'P 1'
_space_group_IT_number 1
loop_
_space_group_symop_operation_xyz
'x,y,z'
loop_
_atom_site_label
_atom_site_fract_x
_atom_site_fract_y
_atom_site_fract_z
Tb1 0.0000 0.0000 0.0000
Tb2 0.0219 0.5219 0.8361
Tb3 0.1858 0.0219 0.5000
Tb4 0.3142 0.8142 0.8361
Tb5 0.4781 0.3142 0.5000
Tb6 0.5000 0.5000 0.0000
Tb7 0.5219 0.6858 0.5000
Tb8 0.6858 0.1858 0.1639
Tb9 0.8142 0.9781 0.5000
Tb10 0.9781 0.4781 0.1639
Al1 0.1215 0.3785 0.5000
Al2 0.3785 0.8785 0.2570
Al3 0.6215 0.1215 0.7430
Al4 0.8785 0.6215 0.5000
Tl1 0.2500 0.2500 0.0000
Tl2 0.7500 0.7500 0.0000
```